No. 1
Material: NaUPd
Method: DFT, PBE
State: relaxed

Results
**Total DFT energy (no corrections)**: -4.949 eV/atom
**Distance to the lowest polymorph of the same formula**: 453 meV per atom

The structure in POSCAR format:
```
NaUPd
1.0
-4.114 2.226 1.130
-2.295 2.637 -3.306
-4.162 -1.552 -1.850
Na Pd U
1 1 1
Direct
0.250 0.250 0.250 Na
0.750 0.750 0.750 Pd
0.000 0.000 0.000 U
```

=====

No. 2
Material: NaYPd
Method: DFT, PBE
State: relaxed

Results
**Total DFT energy (no corrections)**: -4.195 eV/atom
**Distance to the lowest polymorph of the same formula**: 383 meV per atom

The structure in POSCAR format:
```
NaYPd
1.0
-1.225 -3.812 -2.652
-3.840 -2.624 1.197
-3.950 0.142 -2.727
Na Pd Y
1 1 1
Direct
0.750 0.750 0.750 Na
0.250 0.250 0.250 Pd
0.000 0.000 0.000 Y
```

=====

No. 3
Material: NaYPd
Method: DFT, PBE
State: relaxed

Results
**Total DFT energy (no corrections)**: -4.578 eV/atom
**Distance to the lowest polymorph of the same formula**: 0 meV per atom

The structure in POSCAR format:
```
NaYPd
1.0
2.389 1.379 3.902
-2.389 1.379 3.902
0.000 -2.759 3.902
Na Pd Y
1 1 1
Direct
0.250 0.250 0.250 Na
0.000 0.000 0.000 Pd
0.750 0.750 0.750 Y
```

=====

No. 4
Material: NaY2Pd2
Method: DFT, PBE
State: relaxed

Results
**Total DFT energy (no corrections)**: -5.542 eV/atom

The structure in POSCAR format:
```
NaY2Pd2
1.0
7.929 0.000 0.000
0.000 7.929 0.000
0.000 0.000 3.719
Na Pd Y
2 4 4
Direct
0.000 0.000 0.000 Na
0.500 0.500 0.000 Na
0.368 0.132 0.000 Pd
0.868 0.368 0.000 Pd
0.132 0.632 0.000 Pd
0.632 0.868 0.000 Pd
0.660 0.160 0.500 Y
0.160 0.340 0.500 Y
0.840 0.660 0.500 Y
0.340 0.840 0.500 Y
```

=====

No. 5
Material: NaZrPd
Method: DFT, PBE
State: relaxed

Results
**Total DFT energy (no corrections)**: -4.832 eV/atom
**Distance to the lowest polymorph of the same formula**: 0 meV per atom

The structure in POSCAR format:
```
NaZrPd
1.0
0.000 3.238 3.238
3.238 0.000 3.238
3.238 3.238 0.000
Na Pd Zr
1 1 1
Direct
0.500 0.500 0.500 Na
0.250 0.250 0.250 Pd
0.000 0.000 0.000 Zr
```

=====

No. 6
Material: NaPm2
Method: DFT, PBE
State: relaxed

Results
**Total DFT energy (no corrections)**: -1.305 eV/atom
**Distance to the lowest polymorph of the same formula**: 1864 meV per atom

The structure in POSCAR format:
```
NaPm2
1.0
4.773 2.756 7.794
-4.773 2.756 7.794
0.000 -5.511 7.794
Na Pm
2 4
Direct
0.250 0.250 0.250 Na
0.500 0.500 0.500 Na
0.375 0.375 0.375 Pm
0.875 0.375 0.375 Pm
0.375 0.875 0.375 Pm
0.375 0.375 0.875 Pm
```

=====

No. 7
Material: NaPmPt4
Method: DFT, PBE
State: relaxed

Results
**Total DFT energy (no corrections)**: -5.869 eV/atom

The structure in POSCAR format:
```
NaPmPt4
1.0
4.910 -1.547 1.721
1.292 0.425 5.255
0.529 -4.469 3.035
Na Pm Pt
1 1 4
Direct
0.250 0.250 0.250 Na
0.000 0.000 0.000 Pm
0.625 0.625 0.126 Pt
0.625 0.126 0.625 Pt
0.126 0.625 0.625 Pt
0.625 0.625 0.625 Pt
```

=====

No. 8
Material: NaPmRe
Method: DFT, PBE
State: relaxed

Results
**Total DFT energy (no corrections)**: -4.561 eV/atom

The structure in POSCAR format:
```
NaPmRe
1.0
0.000 3.332 3.332
3.332 0.000 3.332
3.332 3.332 0.000
Na Pm Re
1 1 1
Direct
0.000 0.000 0.000 Na
0.250 0.250 0.250 Pm
0.750 0.750 0.750 Re
```

=====

No. 9
Material: NaPm2Se3
Method: DFT, PBE
State: relaxed

Results
**Total DFT energy (no corrections)**: -5.285 eV/atom

The structure in POSCAR format:
```
NaPm2Se3
1.0
6.591 2.780 -1.540
1.091 7.235 0.050
-2.084 -5.903 3.788
Na Pm Se
1 2 3
Direct
0.500 0.500 0.000 Na
0.164 0.164 0.000 Pm
0.836 0.836 0.000 Pm
0.669 0.169 0.500 Se
0.000 0.500 0.500 Se
0.331 0.831 0.500 Se
```

=====

No. 10
Material: Na4Pm2Se
Method: DFT, PBE
State: relaxed

Results
**Total DFT energy (no corrections)**: -2.704 eV/atom

The structure in POSCAR format:
```
Na4Pm2Se
1.0
-3.746 -2.987 3.466
3.064 -4.965 -0.967
3.414 1.189 4.715
Na Pm Se
4 2 1
Direct
0.255 0.255 0.491 Na
0.745 0.745 0.491 Na
0.745 0.255 0.509 Na
0.255 0.745 0.509 Na
0.500 0.000 0.000 Pm
0.000 0.500 0.000 Pm
0.000 0.000 0.000 Se
```

=====

No. 11
Material: NaPmSi3
Method: DFT, PBE
State: relaxed

Results
**Total DFT energy (no corrections)**: -4.824 eV/atom

The structure in POSCAR format:
```
NaPmSi3
1.0
-6.552 9.800 4.952
4.958 -8.118 -8.545
-3.171 -2.289 0.335
Na Pm Si
2 2 6
Direct
0.292 0.708 0.250 Na
0.708 0.292 0.750 Na
0.570 0.430 0.250 Pm
0.430 0.570 0.750 Pm
0.976 0.024 0.250 Si
0.882 0.118 0.250 Si
0.169 0.831 0.250 Si
0.831 0.169 0.750 Si
0.118 0.882 0.750 Si
0.024 0.976 0.750 Si
```

=====

No. 12
Material: NaPmSm
Method: DFT, PBE
State: relaxed

Results
**Total DFT energy (no corrections)**: -2.833 eV/atom
**Distance to the lowest polymorph of the same formula**: 0 meV per atom

The structure in POSCAR format:
```
NaPmSm
1.0
-2.717 -4.579 -0.863
-4.679 0.105 -2.682
-0.303 -2.059 -4.976
Na Pm Sm
1 1 1
Direct
0.000 0.000 0.000 Na
0.250 0.250 0.250 Pm
0.750 0.750 0.750 Sm
```